{
  "formula": "Er7Cd2Hg2",
  "functional": "PBE-GGA",
  "state": "optimized geometry",
  "lattice": [[6.681, -0.002, -0.980], [0.004, 7.671, 0.003], [-1.394, -0.002, 6.607]],
  "species": ["Er", "Hg", "Er", "Er", "Cd", "Er", "Er", "Hg", "Er", "Cd", "Er"],
  "frac_coords": [[0.500, 0.716, 0.000], [0.706, 0.000, 0.294], [0.500, 0.284, 0.000], [0.500, 0.262, 0.500], [0.823, 0.500, 0.823], [0.500, 0.738, 0.500], [0.000, 0.716, 0.500], [0.294, 0.000, 0.706], [0.000, 0.000, 0.000], [0.177, 0.500, 0.177], [0.000, 0.284, 0.500]],
  "ef_ev_per_atom": -0.025,
  "sg": "No. 65",
  "vol_a3_per_atom": 29.83
}


{
  "formula": "PaCoI2",
  "functional": "PBE-GGA",
  "state": "optimized geometry",
  "lattice": [[3.726, 0.000, 0.000], [1.863, 3.227, 0.000], [1.863, 1.076, 9.428]],
  "species": ["Pa", "I", "Co", "I"],
  "frac_coords": [[0.000, 0.000, 0.000], [0.110, 0.110, 0.671], [0.500, 0.500, 0.500], [0.890, 0.890, 0.329]],
  "sg": "No. 166",
  "e_form_raw_ev_per_atom": 0.4003,
  "vol_a3_per_atom": 28.34
}


no.,uncorrected energy (eV per atom)
1,-3.150
2,-4.525